YBiMo2 | GGA-PBE | relaxed

abc: 6.362 6.362 6.362
angles: 102.06 102.06 125.60
Atoms (fractional coordinates):
1 Y 0.000 0.000 0.000
2 Y 0.750 0.250 0.500
3 Bi 0.250 0.750 0.500
4 Bi 0.500 0.500 0.000
5 Mo 0.154 0.125 0.529
6 Mo 0.375 0.846 0.971
7 Mo 0.596 0.625 0.471
8 Mo 0.875 0.404 0.029

Output
magnetic moment = 1.858 μB per cell
space-group type = No. 122
DFT formation energy = 1.0614 eV/atom